Entry 1:
Here is a relaxed CaYZr2 crystal from Alexandria. Energies are from PBE.

```
CaYZr2
1.0
3.326 0.004 0.000
-0.006 3.326 0.000
0.000 0.000 10.078
Y Ca Zr
1 1 2
Direct
0.500 0.500 0.750
0.500 0.500 0.250
0.000 0.000 0.983
0.000 0.000 0.517
```

Properties
- Formation energy from the elements: 0.27 eV/atom
- DFT total energy: -6.118 eV/atom
- Energy relative to the lowest polymorph listed for this composition: 108 meV/atom
- D(E_F): 1.624 states/eV per atom

Entry 2:
Here is a relaxed Ce2HfPa crystal from Alexandria. Energies are from PBE.

```
Ce2HfPa
1.0
3.136 0.000 0.000
1.568 2.716 0.000
1.568 0.905 11.624
Pa Hf Ce
1 1 2
Direct
0.000 0.000 0.000
0.500 0.500 0.500
0.085 0.085 0.744
0.915 0.915 0.256
```

Properties
- Formation energy from the elements: 0.18 eV/atom
- DFT total energy: -7.653 eV/atom
- Energy relative to the lowest polymorph listed for this composition: 78 meV/atom
- D(E_F): 2.322 states/eV per atom

Entry 3:
Here is a relaxed TaMoOs2 crystal from Alexandria. Energies are from PBE.

```
TaMoOs2
1.0
-2.625 -1.715 -0.099
2.488 -3.804 -0.077
-0.075 -0.139 4.396
Mo Os Ta
1 2 1
Direct
0.000 0.500 0.500
0.000 0.000 0.000
0.500 0.500 0.000
0.500 0.000 0.500
```

Properties
- Formation energy from the elements: 0.10 eV/atom
- DFT total energy: -11.187 eV/atom
- Energy relative to the lowest polymorph listed for this composition: 132 meV/atom
- D(E_F): 1.139 states/eV per atom

Entry 4:
Here is a relaxed AgIrOs2 crystal from Alexandria. Energies are from PBE.

```
AgIrOs2
1.0
-0.106 -0.521 2.703
-0.027 -3.801 -0.734
5.665 -0.081 0.207
Ir Os Ag
1 2 1
Direct
0.500 0.500 0.763
0.000 0.000 0.011
0.500 0.500 0.226
0.000 0.000 0.501
```

Properties
- Formation energy from the elements: 0.44 eV/atom
- DFT total energy: -8.104 eV/atom
- Energy relative to the lowest polymorph listed for this composition: 164 meV/atom
- D(E_F): 0.775 states/eV per atom

Question: Which of these has the highest D(E_F)?
Answer: Ce2HfPa